Record 1
# ZrAl2Ir2 | Alexandria via LeMat-Bulk | meta-GGA SCAN | PBEsol geometry
data_ZrAl2Ir2
_space_group_name_H-M_alt 'I 4/m m m'
_space_group_IT_number 139
_space_group_name_Hall '-I 4 2'
_cell_length_a 3.675
_cell_length_b 3.675
_cell_length_c 12.202
_cell_angle_alpha 90.00
_cell_angle_beta 90.00
_cell_angle_gamma 90.00
loop_
_atom_site_label
_atom_site_type_symbol
_atom_site_fract_x
_atom_site_fract_y
_atom_site_fract_z
_atom_site_occupancy
Zr1 Zr 0.000 0.000 0.000 1
Al1 Al 0.000 0.500 0.250 1
Ir1 Ir 0.000 0.000 0.393 1
# DFT total energy	-38.611	eV per atom
# magnetization	0.00	μB per cell
# formation enthalpy at 0 K	-0.93	eV/atom


Record 2
# ZrAl2Ir | Alexandria via LeMat-Bulk | meta-GGA SCAN | PBEsol geometry
data_ZrAl2Ir
_space_group_name_H-M_alt 'P 1 2/m 1'
_space_group_IT_number 10
_space_group_name_Hall '-P 2y'
_cell_length_a 3.014
_cell_length_b 4.322
_cell_length_c 5.170
_cell_angle_alpha 90.00
_cell_angle_beta 98.45
_cell_angle_gamma 90.00
loop_
_atom_site_label
_atom_site_type_symbol
_atom_site_fract_x
_atom_site_fract_y
_atom_site_fract_z
_atom_site_occupancy
Zr1 Zr 0.000 0.000 0.000 1
Al1 Al 0.386 0.500 0.738 1
Ir1 Ir 0.500 0.000 0.500 1
# DFT total energy	-30.011	eV per atom
# magnetization	0.00	μB per cell
# formation enthalpy at 0 K	-0.69	eV/atom


Record 3
# Zr6Al16Ir7 | Alexandria via LeMat-Bulk | meta-GGA SCAN | PBEsol geometry
data_Zr6Al16Ir7
_space_group_name_H-M_alt 'F m -3 m'
_space_group_IT_number 225
_space_group_name_Hall '-F 4 2 3'
_cell_length_a 12.374
_cell_length_b 12.374
_cell_length_c 12.374
_cell_angle_alpha 90.00
_cell_angle_beta 90.00
_cell_angle_gamma 90.00
loop_
_atom_site_label
_atom_site_type_symbol
_atom_site_fract_x
_atom_site_fract_y
_atom_site_fract_z
_atom_site_occupancy
Zr1 Zr 0.000 0.000 0.191 1
Al1 Al 0.120 0.120 0.380 1
Al2 Al 0.162 0.162 0.162 1
Ir1 Ir 0.000 0.000 0.500 1
Ir2 Ir 0.000 0.250 0.250 1
# DFT total energy	-28.836	eV per atom
# magnetization	5.99	μB per cell
# formation enthalpy at 0 K	-1.05	eV/atom


Record 4
# ZrAl2Ir | Alexandria via LeMat-Bulk | meta-GGA SCAN | PBEsol geometry
data_ZrAl2Ir
_space_group_name_H-M_alt 'F -4 3 m'
_space_group_IT_number 216
_space_group_name_Hall 'F -4 2 3'
_cell_length_a 6.371
_cell_length_b 6.371
_cell_length_c 6.371
_cell_angle_alpha 90.00
_cell_angle_beta 90.00
_cell_angle_gamma 90.00
loop_
_atom_site_label
_atom_site_type_symbol
_atom_site_fract_x
_atom_site_fract_y
_atom_site_fract_z
_atom_site_occupancy
Zr1 Zr 0.000 0.000 0.000 1
Al1 Al 0.000 0.000 0.500 1
Al2 Al 0.250 0.250 0.750 1
Ir1 Ir 0.250 0.250 0.250 1
# DFT total energy	-30.054	eV per atom
# magnetization	0.00	μB per cell
# formation enthalpy at 0 K	-0.73	eV/atom


Record 5
# ZrAl2Ir | Alexandria via LeMat-Bulk | meta-GGA SCAN | PBEsol geometry
data_ZrAl2Ir
_space_group_name_H-M_alt 'P 4 m m'
_space_group_IT_number 99
_space_group_name_Hall 'P 4 -2'
_cell_length_a 3.073
_cell_length_b 3.073
_cell_length_c 6.806
_cell_angle_alpha 90.00
_cell_angle_beta 90.00
_cell_angle_gamma 90.00
loop_
_atom_site_label
_atom_site_type_symbol
_atom_site_fract_x
_atom_site_fract_y
_atom_site_fract_z
_atom_site_occupancy
Zr1 Zr 0.000 0.000 0.000 1
Al1 Al 0.000 0.000 0.524 1
Al2 Al 0.500 0.500 0.282 1
Ir1 Ir 0.500 0.500 0.713 1
# DFT total energy	-30.081	eV per atom
# magnetization	0.00	μB per cell
# formation enthalpy at 0 K	-0.76	eV/atom


Record 6
# KAl2 | Alexandria via LeMat-Bulk | meta-GGA SCAN | PBEsol geometry
data_KAl2
_space_group_name_H-M_alt 'I 4/m c m'
_space_group_IT_number 140
_space_group_name_Hall '-I 4 2c'
_cell_length_a 7.817
_cell_length_b 7.817
_cell_length_c 5.619
_cell_angle_alpha 90.00
_cell_angle_beta 90.00
_cell_angle_gamma 90.00
loop_
_atom_site_label
_atom_site_type_symbol
_atom_site_fract_x
_atom_site_fract_y
_atom_site_fract_z
_atom_site_occupancy
K1 K 0.000 0.000 0.250 1
Al1 Al 0.117 0.383 0.000 1
# DFT total energy	-7.151	eV per atom
# magnetization	0.00	μB per cell
# formation enthalpy at 0 K	0.79	eV/atom